# 1
{"formula": "PRu2Pb", "functional": "PBE-GGA", "state": "optimized geometry", "sg": "Fm-3m (225)", "e_above_lowest_polymorph_ev_per_atom": 0.497, "formation_energy_ev_per_fu": 1.7, "rho_g_cm3": 11.4, "m_tot_mub_per_fu": 0.000, "lattice": [[0.000, 3.177, 3.177], [3.177, 0.000, 3.177], [3.177, 3.177, 0.000]], "species": ["P", "Ru", "Ru", "Pb"], "fractional_positions": [[0.000, 0.000, 0.000], [0.250, 0.250, 0.250], [0.750, 0.750, 0.750], [0.500, 0.500, 0.500]]}

=====

# 2
{"formula": "PRu2Pb", "functional": "PBE-GGA", "state": "optimized geometry", "sg": "P4/mmm (123)", "e_above_lowest_polymorph_ev_per_atom": 0.181, "formation_energy_ev_per_fu": 0.4, "rho_g_cm3": 11.6, "m_tot_mub_per_fu": 0.000, "lattice": [[3.017, 0.000, 0.000], [0.000, 3.017, 0.000], [0.000, 0.000, 6.943]], "species": ["P", "Ru", "Ru", "Pb"], "fractional_positions": [[0.000, 0.000, 0.000], [0.500, 0.500, 0.196], [0.500, 0.500, 0.804], [0.000, 0.000, 0.500]]}

=====

# 3
{"formula": "PRuPb2", "functional": "PBE-GGA", "state": "optimized geometry", "sg": "R-3m (166)", "formation_energy_ev_per_fu": 2.2, "rho_g_cm3": 10.4, "m_tot_mub_per_fu": 0.403, "lattice": [[1.812, 1.046, 7.635], [-1.812, 1.046, 7.635], [0.000, -2.093, 7.635]], "species": ["P", "Ru", "Pb", "Pb"], "fractional_positions": [[0.000, 0.000, 0.000], [0.500, 0.500, 0.500], [0.249, 0.249, 0.249], [0.751, 0.751, 0.751]]}

=====

# 4
{"formula": "PRuPb2", "functional": "PBE-GGA", "state": "optimized geometry", "sg": "P4/mmm (123)", "formation_energy_ev_per_fu": 2.5, "rho_g_cm3": 10.8, "m_tot_mub_per_fu": 0.525, "lattice": [[4.908, 0.000, 0.000], [0.000, 4.908, 0.000], [0.000, 0.000, 3.493]], "species": ["P", "Ru", "Pb", "Pb"], "fractional_positions": [[0.000, 0.000, 0.000], [0.500, 0.500, 0.000], [0.000, 0.500, 0.500], [0.500, 0.000, 0.500]]}

=====

# 5
{"formula": "PRu2Pb", "functional": "PBE-GGA", "state": "optimized geometry", "sg": "Pmm2 (25)", "e_above_lowest_polymorph_ev_per_atom": 0.197, "formation_energy_ev_per_fu": 0.5, "rho_g_cm3": 10.2, "m_tot_mub_per_fu": 0.000, "lattice": [[3.168, 0.000, 0.000], [0.000, 4.530, 0.000], [0.000, 0.000, 4.980]], "species": ["P", "Ru", "Ru", "Pb"], "fractional_positions": [[0.000, 0.000, 0.000], [0.000, 0.500, 0.145], [0.500, 0.000, 0.324], [0.500, 0.500, 0.648]]}

=====

# 6
{"formula": "PRu2Pb", "functional": "PBE-GGA", "state": "optimized geometry", "sg": "F-43m (216)", "e_above_lowest_polymorph_ev_per_atom": 0.797, "formation_energy_ev_per_fu": 2.9, "rho_g_cm3": 10.9, "m_tot_mub_per_fu": 0.003, "lattice": [[0.000, 3.224, 3.224], [3.224, 0.000, 3.224], [3.224, 3.224, 0.000]], "species": ["P", "Ru", "Ru", "Pb"], "fractional_positions": [[0.000, 0.000, 0.000], [0.250, 0.250, 0.250], [0.500, 0.500, 0.500], [0.750, 0.750, 0.750]]}

=====

# 7
{"formula": "PRuPb2", "functional": "PBE-GGA", "state": "optimized geometry", "sg": "Cmmm (65)", "formation_energy_ev_per_fu": 2.4, "rho_g_cm3": 10.9, "m_tot_mub_per_fu": 0.000, "lattice": [[3.241, -3.786, 0.000], [3.241, 3.786, 0.000], [0.000, 0.000, 3.399]], "species": ["P", "Ru", "Pb", "Pb"], "fractional_positions": [[0.000, 0.000, 0.000], [0.500, 0.500, 0.000], [0.000, 0.500, 0.500], [0.500, 0.000, 0.500]]}

=====

# 8
{"formula": "P2RuPb", "functional": "PBE-GGA", "state": "optimized geometry", "sg": "Cmmm (65)", "formation_energy_ev_per_fu": 2.6, "rho_g_cm3": 8.7, "m_tot_mub_per_fu": 0.000, "lattice": [[2.788, -3.739, 0.000], [2.788, 3.739, 0.000], [0.000, 0.000, 3.384]], "species": ["P", "P", "Ru", "Pb"], "fractional_positions": [[0.000, 0.500, 0.000], [0.500, 0.000, 0.000], [0.000, 0.000, 0.500], [0.500, 0.500, 0.500]]}

=====

# 9
{"formula": "P2RuPb", "functional": "PBE-GGA", "state": "optimized geometry", "sg": "Cm (8)", "formation_energy_ev_per_fu": 0.4, "rho_g_cm3": 7.9, "m_tot_mub_per_fu": 0.000, "lattice": [[6.750, -1.817, 0.000], [6.750, 1.817, 0.000], [-0.792, 0.000, 3.189]], "species": ["P", "P", "Ru", "Pb"], "fractional_positions": [[0.000, 0.000, 0.000], [0.126, 0.126, 0.625], [0.502, 0.502, 0.501], [0.803, 0.803, 0.302]]}

=====

# 10
{"formula": "P2RuPb", "functional": "PBE-GGA", "state": "optimized geometry", "sg": "C2/m (12)", "formation_energy_ev_per_fu": 0.0, "rho_g_cm3": 8.0, "m_tot_mub_per_fu": 0.000, "lattice": [[3.593, -1.742, 0.000], [3.593, 1.742, 0.000], [-1.626, 0.000, 6.107]], "species": ["P", "P", "Ru", "Pb"], "fractional_positions": [[0.228, 0.228, 0.157], [0.772, 0.772, 0.843], [0.500, 0.500, 0.000], [0.000, 0.000, 0.500]]}

=====

# 11
{"formula": "PRuPb2", "functional": "PBE-GGA", "state": "optimized geometry", "sg": "Imm2 (44)", "formation_energy_ev_per_fu": 0.5, "rho_g_cm3": 9.2, "m_tot_mub_per_fu": 0.000, "lattice": [[-1.834, 2.018, 6.642], [1.834, -2.018, 6.642], [1.834, 2.018, -6.642]], "species": ["P", "Ru", "Pb", "Pb"], "fractional_positions": [[0.000, 0.000, 0.000], [0.096, 0.596, 0.500], [0.414, 0.414, 0.000], [0.690, 0.190, 0.500]]}

=====

# 12
{"formula": "P2RuPb", "functional": "PBE-GGA", "state": "optimized geometry", "sg": "P2/m (10)", "formation_energy_ev_per_fu": -0.1, "rho_g_cm3": 7.7, "m_tot_mub_per_fu": 0.000, "lattice": [[4.390, 0.000, 0.000], [0.000, 3.983, 0.000], [-1.177, 0.000, 4.563]], "species": ["P", "P", "Ru", "Pb"], "fractional_positions": [[0.246, 0.000, 0.402], [0.754, 0.000, 0.598], [0.000, 0.500, 0.500], [0.500, 0.500, 0.000]]}

=====

# 13
{"formula": "P2RuPb", "functional": "PBE-GGA", "state": "optimized geometry", "sg": "P4/mmm (123)", "formation_energy_ev_per_fu": 2.9, "rho_g_cm3": 8.7, "m_tot_mub_per_fu": 0.000, "lattice": [[3.880, 0.000, 0.000], [0.000, 3.880, 0.000], [0.000, 0.000, 4.719]], "species": ["P", "P", "Ru", "Pb"], "fractional_positions": [[0.000, 0.500, 0.000], [0.500, 0.000, 0.000], [0.000, 0.000, 0.500], [0.500, 0.500, 0.500]]}

=====

# 14
{"formula": "PRuPb2", "functional": "PBE-GGA", "state": "optimized geometry", "sg": "Immm (71)", "formation_energy_ev_per_fu": 2.7, "rho_g_cm3": 10.7, "m_tot_mub_per_fu": 0.039, "lattice": [[-1.948, 2.555, 4.246], [1.948, -2.555, 4.246], [1.948, 2.555, -4.246]], "species": ["P", "Ru", "Pb", "Pb"], "fractional_positions": [[0.000, 0.000, 0.000], [0.500, 0.500, 0.000], [0.247, 0.747, 0.500], [0.753, 0.253, 0.500]]}

=====

# 15
{"formula": "PRuPb2", "functional": "PBE-GGA", "state": "optimized geometry", "sg": "R3m (160)", "formation_energy_ev_per_fu": -0.6, "rho_g_cm3": 9.3, "m_tot_mub_per_fu": 0.000, "lattice": [[1.988, 1.148, 7.117], [-1.988, 1.148, 7.117], [0.000, -2.295, 7.117]], "species": ["P", "Ru", "Pb", "Pb"], "fractional_positions": [[0.000, 0.000, 0.000], [0.666, 0.666, 0.666], [0.238, 0.238, 0.238], [0.428, 0.428, 0.428]]}

=====

# 16
{"formula": "PRuPb2", "functional": "PBE-GGA", "state": "optimized geometry", "sg": "I-42d (122)", "formation_energy_ev_per_fu": 3.0, "rho_g_cm3": 7.6, "m_tot_mub_per_fu": 0.000, "lattice": [[-3.151, 3.151, 5.985], [3.151, -3.151, 5.985], [3.151, 3.151, -5.985]], "species": ["P", "P", "Ru", "Ru", "Pb", "Pb", "Pb", "Pb"], "fractional_positions": [[0.000, 0.000, 0.000], [0.750, 0.250, 0.500], [0.250, 0.750, 0.500], [0.500, 0.500, 0.000], [0.134, 0.625, 0.009], [0.375, 0.384, 0.509], [0.616, 0.125, 0.991], [0.875, 0.866, 0.491]]}

=====

# 17
{"formula": "PRuPb2", "functional": "PBE-GGA", "state": "optimized geometry", "sg": "C2/m (12)", "formation_energy_ev_per_fu": 0.4, "rho_g_cm3": 9.7, "m_tot_mub_per_fu": 0.000, "lattice": [[8.291, -1.734, 0.000], [8.291, 1.734, 0.000], [-0.500, 0.000, 3.254]], "species": ["P", "Ru", "Pb", "Pb"], "fractional_positions": [[0.000, 0.000, 0.000], [0.500, 0.500, 0.500], [0.156, 0.156, 0.632], [0.844, 0.844, 0.368]]}

=====

# 18
{"formula": "P2RuPb", "functional": "PBE-GGA", "state": "optimized geometry", "sg": "P4/mmm (123)", "formation_energy_ev_per_fu": 0.3, "rho_g_cm3": 8.4, "m_tot_mub_per_fu": 0.697, "lattice": [[3.087, 0.000, 0.000], [0.000, 3.087, 0.000], [0.000, 0.000, 7.653]], "species": ["P", "P", "Ru", "Pb"], "fractional_positions": [[0.000, 0.000, 0.172], [0.000, 0.000, 0.828], [0.500, 0.500, 0.000], [0.500, 0.500, 0.500]]}

=====

# 19
{"formula": "PRuPb2", "functional": "PBE-GGA", "state": "optimized geometry", "sg": "Amm2 (38)", "formation_energy_ev_per_fu": 0.4, "rho_g_cm3": 9.7, "m_tot_mub_per_fu": 0.000, "lattice": [[4.141, 0.000, 0.000], [0.000, 2.648, 4.267], [0.000, -2.648, 4.267]], "species": ["P", "Ru", "Pb", "Pb"], "fractional_positions": [[0.000, 0.000, 0.000], [0.500, 0.108, 0.108], [0.000, 0.355, 0.355], [0.500, 0.733, 0.733]]}

=====

# 20
{"formula": "PRu2Pb", "functional": "PBE-GGA", "state": "optimized geometry", "sg": "Immm (71)", "e_above_lowest_polymorph_ev_per_atom": 0.221, "formation_energy_ev_per_fu": 0.6, "rho_g_cm3": 10.5, "m_tot_mub_per_fu": 0.000, "lattice": [[-1.696, 2.668, 3.837], [1.696, -2.668, 3.837], [1.696, 2.668, -3.837]], "species": ["P", "Ru", "Ru", "Pb"], "fractional_positions": [[0.000, 0.000, 0.000], [0.191, 0.691, 0.500], [0.809, 0.309, 0.500], [0.500, 0.500, 0.000]]}